No. 1
A relaxed SmHoCu crystal, computed with PBE.

Structure (POSCAR):
```
SmHoCu
1.0
3.4888 0.0050 0.0004
-0.0166 7.0364 0.0212
-1.7405 -1.8288 6.1992
Cu Sm Ho
2 2 2
direct
0.9459 0.2855 0.6545
0.9326 0.8189 0.6345
0.5809 0.6236 0.9282
0.2965 0.4801 0.3605
0.3011 0.9847 0.3693
0.5764 0.1190 0.9195
```

Computed properties:
The value obtained for the energy of formation is -118 meV/atom. Its relative energy among the computed polymorphs is 0.0000 eV/atom. The total DFT energy (no corrections) comes out at -4.58 eV/atom. As for the symmetry: P-1 (2).

No. 2
A relaxed SmHoCu2 crystal, computed with PBE.

Structure (POSCAR):
```
SmHoCu2
1.0
3.4852 0.0000 0.0000
0.0000 3.4852 0.0000
0.0000 0.0000 7.0353
Ho Cu Sm
1 2 1
direct
0.5000 0.5000 0.0000
0.0000 0.0000 0.2339
0.0000 0.0000 0.7661
0.5000 0.5000 0.5000
```

Computed properties:
The value obtained for the energy of formation is -225 meV/atom. Its relative energy among the computed polymorphs is 0.0063 eV/atom. The total DFT energy (no corrections) comes out at -4.60 eV/atom. As for the symmetry: P4/mmm (123).

No. 3
A relaxed Sm2Ho3Cu2 crystal, computed with PBE.

Structure (POSCAR):
```
Sm2Ho3Cu2
1.0
-1.6799 1.7728 -2.6857
1.5560 -5.8891 -2.4072
-7.5484 0.4135 4.9943
Ho Sm Cu
3 2 2
direct
0.3852 0.7703 0.5559
0.6148 0.2297 0.4441
0.5000 0.0000 0.0000
0.1555 0.3110 0.8128
0.8445 0.6890 0.1872
0.8338 0.6676 0.7673
0.1662 0.3324 0.2327
```

Computed properties:
The value obtained for the energy of formation is -116 meV/atom. The total DFT energy (no corrections) comes out at -4.60 eV/atom. As for the symmetry: C2/m (12).